Record 1
Ti2Al4V5 | PBE | optimized geometry

Values from the calculation:
Calculated total energy, eV/atom: -7.09
Total magnetic moment, Bohr magnetons per cell: 0.00
Energy of formation, eV/atom: -0.1495

Unit cell a=6.7672 b=2.6306 c=9.1266 alpha=90.00 beta=93.87 gamma=90.00
Closest atoms and distances in Å follow each position.
Space group P2/m (No. 10)
Unique sites:
Ti1 0.0577 0.0000 0.1418 [2 per cell]  2 V 2.56-2.59, 3 Ti 2.63-2.65, 6 Al 2.79-2.86
Al1 0.1573 0.5000 0.4057 [2 per cell]  3 Al 2.63-2.83, 8 V 2.75-2.92, 2 Ti 2.79
Al2 0.3056 0.5000 0.9463 [2 per cell]  3 Al 2.63-2.75, 6 V 2.80-2.93, 4 Ti 2.85-2.86
V1 0.2196 0.0000 0.6765 [2 per cell]  4 V 2.50-2.63, 1 Ti 2.59
V2 0.4267 0.0000 0.2244 [2 per cell]  4 V 2.50-2.63, 1 Ti 2.56, 2 Al 2.80
V3 0.5000 0.0000 0.5000 [1 per cell]  6 V 2.53-2.63, 4 Al 2.75

Record 2
Ti2Al3V | PBE | optimized geometry

Values from the calculation:
Calculated total energy, eV/atom: -6.37
Total magnetic moment, Bohr magnetons per cell: 0.00
Energy of formation, eV/atom: -0.3459

Unit cell a=3.9231 b=11.6829 c=4.0662 alpha=90.00 beta=90.00 gamma=90.00
Closest atoms and distances in Å follow each position.
Space group Cmmm (No. 65)
Unique sites:
Ti1 0.0000 0.1615 0.0000 [4 per cell]  2 V 2.72, 8 Al 2.77-2.87, 2 Ti 2.85
Al1 0.0000 0.0000 0.5000 [2 per cell]  4 Al 2.75, 4 Ti 2.77, 4 V 2.83
Al2 0.0000 0.3354 0.5000 [4 per cell]  4 Al 2.75-2.80, 2 V 2.80, 6 Ti 2.83-2.87
V1 0.0000 0.5000 0.0000 [2 per cell]  4 Ti 2.72, 8 Al 2.80-2.83

Record 3
Ti2Al4V | PBE | optimized geometry

Values from the calculation:
Calculated total energy, eV/atom: -5.72
Total magnetic moment, Bohr magnetons per cell: 0.02
Energy of formation, eV/atom: -0.0208

Unit cell a=5.4436 b=5.4485 c=9.2945 alpha=106.14 beta=92.89 gamma=115.95
Closest atoms and distances in Å follow each position.
Space group P-1 (No. 2)
Unique sites:
Ti1 0.1190 0.2790 0.0064 [2 per cell]  5 Al 2.64-2.93, 1 Ti 2.70
Ti2 0.2729 0.6127 0.4931 [2 per cell]  5 Al 2.64-2.93, 1 Ti 2.70
Al1 0.1012 0.4094 0.7532 [2 per cell]  2 Al 2.47-2.73, 1 V 2.59, 1 Ti 2.65
Al2 0.1177 0.8673 0.7499 [2 per cell]  3 Al 2.41-2.47
Al3 0.3443 0.1535 0.2534 [2 per cell]  2 Al 2.47-2.73, 1 V 2.59, 1 Ti 2.65
Al4 0.4638 0.7149 0.2492 [2 per cell]  1 Al 2.41, 2 Ti 2.64
V1 0.0000 0.0000 0.5000 [1 per cell]  4 Al 2.59-2.74
V2 0.5000 0.0000 0.0000 [1 per cell]  4 Al 2.59-2.74

Record 4
Ti2AlV | PBE | optimized geometry

Values from the calculation:
Calculated total energy, eV/atom: -7.20
Total magnetic moment, Bohr magnetons per cell: 1.34
Energy of formation, eV/atom: -0.0329

Unit cell a=5.1458 b=2.8144 c=9.2438 alpha=90.00 beta=105.15 gamma=90.00
Closest atoms and distances in Å follow each position.
Space group Cm (No. 8)
Unique sites:
Ti1 0.0000 0.0000 0.0000 [2 per cell]  3 V 2.54-2.81, 2 Ti 2.81
Ti2 0.2385 0.0000 0.5219 [2 per cell]  3 V 2.55-2.82, 2 Ti 2.81
Al1 0.4413 0.0000 0.2613 [2 per cell]  6 Al 2.81-2.93, 6 Ti 2.85-2.88
V1 0.1197 0.5000 0.7616 [2 per cell]  6 Ti 2.54-2.82, 2 V 2.81

Record 5
Ti5AlV | PBE | optimized geometry

Values from the calculation:
Calculated total energy, eV/atom: -7.40
Total magnetic moment, Bohr magnetons per cell: 0.18
Energy of formation, eV/atom: 0.0779

Unit cell a=12.6189 b=5.3794 c=8.6573 alpha=90.00 beta=126.65 gamma=90.00
Closest atoms and distances in Å follow each position.
Space group C2/c (No. 15)
Unique sites:
Ti1 0.0000 0.0005 0.2500 [4 per cell]  2 Al 2.63-2.75, 6 Ti 2.63-2.75, 2 V 2.88
Ti2 0.0885 0.2368 0.0817 [8 per cell]  1 V 2.53, 4 Ti 2.63-2.72, 2 Al 2.74
Ti3 0.1753 0.2552 0.5864 [8 per cell]  5 Ti 2.63-2.94, 1 Al 2.75
Al1 0.0000 0.4884 0.7500 [4 per cell]  8 Ti 2.63-2.75, 2 V 2.85
V1 0.2500 0.2500 0.0000 [4 per cell]  2 Ti 2.53

Record 6
TiAlV6 | PBE | optimized geometry

Values from the calculation:
Calculated total energy, eV/atom: -8.34
Total magnetic moment, Bohr magnetons per cell: 0.00
Energy of formation, eV/atom: -0.0494

Unit cell a=4.2235 b=6.1696 c=8.6726 alpha=90.00 beta=90.00 gamma=90.00
Closest atoms and distances in Å follow each position.
Space group Amm2 (No. 38)
Unique sites:
Ti1 0.0000 0.0000 0.0000 [2 per cell]  8 V 2.65-2.69, 2 Al 2.96
Al1 0.5000 0.0000 0.7607 [2 per cell]  10 V 2.65-2.96, 2 Ti 2.96
V1 0.0000 0.0000 0.5217 [2 per cell]  8 V 2.57-2.73
V2 0.0000 0.2168 0.2641 [4 per cell]  5 V 2.50-2.73, 2 Ti 2.65-2.69, 2 Al 2.74
V3 0.5000 0.0000 0.2578 [2 per cell]  8 V 2.50-2.72
V4 0.5000 0.2370 0.5063 [4 per cell]  4 V 2.57-2.72, 2 Al 2.65-2.68, 2 Ti 2.66

Record 7
Ti2AlV2 | PBE | optimized geometry

Values from the calculation:
Calculated total energy, eV/atom: -7.65
Total magnetic moment, Bohr magnetons per cell: 0.00
Energy of formation, eV/atom: -0.0993
Excess energy over the best structure of this formula in the dataset, meV/atom: 26

Unit cell a=4.5485 b=4.5485 c=12.8264 alpha=90.00 beta=90.00 gamma=120.00
Closest atoms and distances in Å follow each position.
Space group R-3m (No. 166, hexagonal axes)
Unique sites:
Ti1 0.0000 0.0000 0.2156 [6 per cell]  4 V 2.58-2.66, 1 Al 2.77
Al1 0.0000 0.0000 0.0000 [3 per cell]  8 Ti 2.77-3.03, 6 V 2.83
V1 0.0000 0.0000 0.4164 [6 per cell]  1 V 2.14

Record 8
TiAl4W | PBE | optimized geometry

Values from the calculation:
Calculated total energy, eV/atom: -6.06
Total magnetic moment, Bohr magnetons per cell: 0.00
Energy of formation, eV/atom: -0.0950

Unit cell a=7.1604 b=7.1604 c=7.1604 alpha=90.00 beta=90.00 gamma=90.00
Closest atoms and distances in Å follow each position.
Space group F-43m (No. 216)
Unique sites:
Ti1 0.0000 0.0000 0.0000 [4 per cell]  12 Al 2.97, 4 W 3.10
Al1 0.1251 0.1251 0.3749 [16 per cell]  6 Al 2.53
W1 0.2500 0.2500 0.7500 [4 per cell]  12 Al 2.97, 4 Ti 3.10

Record 9
TiAl3W | PBE | optimized geometry

Values from the calculation:
Calculated total energy, eV/atom: -5.60
Total magnetic moment, Bohr magnetons per cell: 0.00
Energy of formation, eV/atom: 0.8194
Excess energy over the best structure of this formula in the dataset, meV/atom: 0

Unit cell a=4.7593 b=4.7593 c=4.7593 alpha=90.00 beta=90.00 gamma=90.00
Closest atoms and distances in Å follow each position.
Space group Pm-3m (No. 221)
Unique sites:
Ti1 0.0000 0.0000 0.0000 [1 per cell]  12 Al 3.37
Al1 0.0000 0.5000 0.5000 [3 per cell]  2 W 2.38
W1 0.5000 0.5000 0.5000 [1 per cell]  6 Al 2.38

Record 10
Ti4AlW | PBE | optimized geometry

Values from the calculation:
Calculated total energy, eV/atom: -7.61
Total magnetic moment, Bohr magnetons per cell: 0.00
Energy of formation, eV/atom: 0.4330
Excess energy over the best structure of this formula in the dataset, meV/atom: 478

Unit cell a=4.4140 b=4.4140 c=20.9551 alpha=90.00 beta=90.00 gamma=120.00
Closest atoms and distances in Å follow each position.
Space group R-3m (No. 166, hexagonal axes)
Unique sites:
Ti1 0.0000 0.0000 0.1202 [6 per cell]  1 W 2.52, 3 Al 2.73
Ti2 0.0000 0.0000 0.3692 [6 per cell]  3 W 2.66, 1 Al 2.74, 3 Ti 2.96
Al1 0.0000 0.0000 0.5000 [3 per cell]  8 Ti 2.73-2.74
W1 0.0000 0.0000 0.0000 [3 per cell]  8 Ti 2.52-2.66

Record 11
TiAl2W | PBE | optimized geometry

Values from the calculation:
Calculated total energy, eV/atom: -6.77
Total magnetic moment, Bohr magnetons per cell: 0.00
Energy of formation, eV/atom: 0.3176
Excess energy over the best structure of this formula in the dataset, meV/atom: 539

Unit cell a=7.0493 b=7.0493 c=5.4308 alpha=90.00 beta=90.00 gamma=90.00
Closest atoms and distances in Å follow each position.
Space group I-42d (No. 122)
Unique sites:
Ti1 0.0000 0.0000 0.0000 [4 per cell]  4 Al 2.60, 2 W 2.72
Al1 0.2470 0.7500 0.6250 [8 per cell]  2 W 2.57, 2 Ti 2.60, 2 Al 2.72
W1 0.0000 0.0000 0.5000 [4 per cell]  4 Al 2.57, 2 Ti 2.72

Record 12
Ti3Al2W | PBE | optimized geometry

Values from the calculation:
Calculated total energy, eV/atom: -7.66
Total magnetic moment, Bohr magnetons per cell: 0.00
Energy of formation, eV/atom: -0.3031

Unit cell a=3.2435 b=3.2435 c=9.2539 alpha=90.00 beta=90.00 gamma=90.00
Closest atoms and distances in Å follow each position.
Space group P4/mmm (No. 123)
Unique sites:
Ti1 0.0000 0.0000 0.0000 [1 per cell]  8 Al 2.80
Ti2 0.0000 0.0000 0.3424 [2 per cell]  4 W 2.72, 4 Al 2.77, 1 Ti 2.92
Al1 0.5000 0.5000 0.1744 [2 per cell]  8 Ti 2.77-2.80, 1 W 3.01
W1 0.5000 0.5000 0.5000 [1 per cell]  8 Ti 2.72, 2 Al 3.01

Question: Which of these has the lowest calculated total energy?
Answer: TiAlV6

Question: Among the records above, which one has the lowest calculated total energy?
Answer: TiAlV6